No. 1
This record from Alexandria describes a geometry-optimized Sc2HgBr structure. The functional is GGA-PBE.

a b c (Å): 7.2250 7.6141 3.2993
angles (deg): 90.00 99.25 90.00
Last column: nearest neighbours and their distance in Å.
Space group C2/m (No. 12)
Inequivalent atoms, fractional coordinates:
Sc 0.2500 0.2500 0.0000 (multiplicity 4)  4 Hg 2.94-3.25, 4 Br 2.94-3.25
Hg 0.0000 0.0000 0.5000 (multiplicity 2)  8 Sc 2.94-3.25
Br 0.0000 0.5000 0.5000 (multiplicity 2)  8 Sc 2.94-3.25

Energy ... -4.087 eV per atom
Formation energy without anion corrections ... -0.427 eV per atom

No. 2
This record from Alexandria describes a geometry-optimized BeAsRh2 structure. The functional is GGA-PBE.

a b c (Å): 5.9163 5.9163 5.9163
angles (deg): 90.00 90.00 90.00
Last column: nearest neighbours and their distance in Å.
Space group Fm-3m (No. 225)
Inequivalent atoms, fractional coordinates:
Be 0.0000 0.0000 0.0000 (multiplicity 4)  8 Rh 2.56
As 0.0000 0.0000 0.5000 (multiplicity 4)  8 Rh 2.56
Rh 0.2500 0.2500 0.2500 (multiplicity 8)  4 As 2.56, 4 Be 2.56

Formation enthalpy at 0 K ... -341.8 meV per atom
Energy ... -6.111 eV per atom

No. 3
This record from Alexandria describes a geometry-optimized CsNaInHg structure. The functional is GGA-PBE.

a b c (Å): 8.3773 8.3773 8.3773
angles (deg): 90.00 90.00 90.00
Last column: nearest neighbours and their distance in Å.
Space group F-43m (No. 216)
Inequivalent atoms, fractional coordinates:
Cs 0.0000 0.0000 0.0000 (multiplicity 4)  4 Hg 3.63, 4 Na 3.63
Na 0.2500 0.2500 0.7500 (multiplicity 4)  4 Cs 3.63, 4 In 3.63
In 0.0000 0.0000 0.5000 (multiplicity 4)  4 Hg 3.63, 4 Na 3.63
Hg 0.2500 0.2500 0.2500 (multiplicity 4)  4 In 3.63, 4 Cs 3.63

Formation enthalpy at 0 K ... 1.8 meV per atom
Energy ... -1.301 eV per atom

No. 4
This record from Alexandria describes a geometry-optimized KTaTl2Br8 structure. The functional is GGA-PBE.

a b c (Å): 7.1640 8.0418 9.4783
angles (deg): 70.83 78.70 75.54
Last column: nearest neighbours and their distance in Å.
Space group P-1 (No. 2)
Inequivalent atoms, fractional coordinates:
K 0.0000 0.0000 0.0000 (multiplicity 1)  6 Br 3.24-3.60
Ta 0.0000 0.0000 0.5000 (multiplicity 1)  6 Br 2.51-2.57
Tl 0.4447 0.3746 0.2478 (multiplicity 2)  2 Br 3.02-3.06
Br 0.0429 0.7407 0.7448 (multiplicity 2)  1 Ta 2.57
Br 0.0924 0.2086 0.6147 (multiplicity 2)  1 Ta 2.54
Br 0.3495 0.9071 0.4021 (multiplicity 2)  1 Ta 2.51
Br 0.4314 0.7535 0.0288 (multiplicity 2)  2 Tl 3.02-3.06, 1 K 3.24

Energy ... -3.603 eV per atom
Formation energy without anion corrections ... -1.014 eV per atom

No. 5
This record from Alexandria describes a geometry-optimized SrYCl2 structure. The functional is GGA-PBE.

a b c (Å): 6.5229 6.5229 13.0447
angles (deg): 90.00 90.00 90.00
Last column: nearest neighbours and their distance in Å.
Space group I-42d (No. 122)
Inequivalent atoms, fractional coordinates:
Sr 0.0000 0.0000 0.0000 (multiplicity 4)  4 Cl 2.93
Y 0.0000 0.0000 0.5000 (multiplicity 4)  4 Cl 2.73
Cl 0.2230 0.2500 0.6250 (multiplicity 8)  2 Y 2.73, 2 Sr 2.93

Energy ... -4.140 eV per atom
Formation energy without anion corrections ... -1.181 eV per atom

No. 6
This record from Alexandria describes a geometry-optimized CaYMg structure. The functional is GGA-PBE.

a b c (Å): 3.7779 3.7779 13.3607
angles (deg): 90.00 90.00 90.00
Last column: nearest neighbours and their distance in Å.
Space group I4mm (No. 107)
Inequivalent atoms, fractional coordinates:
Ca 0.0000 0.0000 0.0000 (multiplicity 2)  4 Mg 3.41, 4 Ca 3.78, 4 Y 3.78
Y 0.0000 0.0000 0.7006 (multiplicity 2)  4 Mg 3.27
Mg 0.0000 0.0000 0.3417 (multiplicity 2)  4 Y 3.27, 4 Ca 3.41

Formation enthalpy at 0 K ... 0.0 meV per atom
Energy ... -3.353 eV per atom

No. 7
This record from Alexandria describes a geometry-optimized Sr2MgPbO structure. The functional is GGA-PBE.

a b c (Å): 6.3095 6.3095 5.1508
angles (deg): 90.00 90.00 90.00
Last column: nearest neighbours and their distance in Å.
Space group P4/mmm (No. 123)
Inequivalent atoms, fractional coordinates:
Sr 0.0000 0.5000 0.0000 (multiplicity 2)  2 Pb 3.15
Mg 0.0000 0.0000 0.5000 (multiplicity 1)  2 Pb 2.58
Pb 0.0000 0.0000 0.0000 (multiplicity 1)  2 Mg 2.58
O 0.5000 0.5000 0.5000 (multiplicity 1)  8 Sr 4.07, 4 Mg 4.46

Energy ... -2.660 eV per atom
Formation energy without anion corrections ... 0.065 eV per atom

No. 8
This record from Alexandria describes a geometry-optimized Ac3Al4Au2 structure. The functional is GGA-PBE.

a b c (Å): 12.2786 4.4648 9.1259
angles (deg): 90.00 99.23 90.00
Last column: nearest neighbours and their distance in Å.
Space group C2/m (No. 12)
Inequivalent atoms, fractional coordinates:
Ac 0.0000 0.0000 0.0000 (multiplicity 2)  8 Al 3.46-3.53, 4 Au 3.47
Ac 0.1690 0.5000 0.6650 (multiplicity 4)  8 Al 3.45-3.56, 4 Au 3.50-3.54
Al 0.0505 0.0000 0.3843 (multiplicity 4)  2 Au 2.59, 1 Al 2.61
Al 0.2250 0.5000 0.0604 (multiplicity 4)  1 Au 2.60, 2 Al 2.61
Au 0.1091 0.5000 0.2752 (multiplicity 4)  3 Al 2.59-2.60

Formation enthalpy at 0 K ... -558.2 meV per atom
Energy ... -4.319 eV per atom

No. 9
This record from Alexandria describes a geometry-optimized TlBRh3 structure. The functional is GGA-PBE.

a b c (Å): 7.4002 5.4973 8.3226
angles (deg): 90.00 115.57 90.00
Last column: nearest neighbours and their distance in Å.
Space group P2_1/c (No. 14)
Inequivalent atoms, fractional coordinates:
Tl 0.1079 0.1901 0.1460 (multiplicity 4)  7 Rh 2.71-3.01
B 0.4364 0.7475 0.8958 (multiplicity 4)  5 Rh 2.05-2.18
Rh 0.1548 0.6799 0.1999 (multiplicity 4)  1 B 2.06
Rh 0.3099 0.0405 0.4882 (multiplicity 4)  2 B 2.05-2.14
Rh 0.4566 0.5851 0.6411 (multiplicity 4)  2 B 2.09-2.18

Formation enthalpy at 0 K ... -38.1 meV per atom
Energy ... -6.258 eV per atom

No. 10
This record from Alexandria describes a geometry-optimized TaP2Au structure. The functional is GGA-PBE.

a b c (Å): 3.9609 4.2945 7.8227
angles (deg): 90.00 90.00 90.00
Last column: nearest neighbours and their distance in Å.
Space group Cmm2 (No. 35)
Inequivalent atoms, fractional coordinates:
Ta 0.0000 0.0000 0.0000 (multiplicity 2)  4 P 2.58-2.71, 2 Au 2.88
P 0.0000 0.0000 0.5231 (multiplicity 2)  4 Au 2.82-2.94, 8 P 2.87-2.99
P 0.0000 0.5000 0.7882 (multiplicity 2)  4 Ta 2.58-2.71, 2 P 2.87
Au 0.0000 0.5000 0.2667 (multiplicity 2)  4 P 2.82-2.94, 4 Ta 2.88-2.99, 4 Au 2.92

Formation enthalpy at 0 K ... 248.2 meV per atom
Energy ... -6.239 eV per atom

No. 11
This record from Alexandria describes a geometry-optimized Na3PmSb2Te6 structure. The functional is GGA-PBE.

a b c (Å): 7.7530 13.4347 7.9970
angles (deg): 90.00 108.86 90.00
Last column: nearest neighbours and their distance in Å.
Space group C2/m (No. 12)
Inequivalent atoms, fractional coordinates:
Na 0.0000 0.0000 0.0000 (multiplicity 2)  6 Te 3.23-3.31
Na 0.0000 0.3316 0.0000 (multiplicity 4)  6 Te 3.23-3.32
Pm 0.0000 0.5000 0.5000 (multiplicity 2)  6 Te 3.17-3.18
Sb 0.0000 0.1668 0.5000 (multiplicity 4)  6 Te 3.09-3.11
Te 0.2370 0.0000 0.7333 (multiplicity 4)  2 Sb 3.11, 1 Pm 3.18, 3 Na 3.23-3.32
Te 0.2473 0.3294 0.7312 (multiplicity 8)  2 Sb 3.09-3.10, 1 Pm 3.17, 3 Na 3.23-3.31

Energy ... -3.725 eV per atom
Formation energy without anion corrections ... -0.742 eV per atom

No. 12
This record from Alexandria describes a geometry-optimized CaHf3Fe structure. The functional is GGA-PBE.

a b c (Å): 4.8488 4.8488 4.8488
angles (deg): 90.00 90.00 90.00
Last column: nearest neighbours and their distance in Å.
Space group Pm-3m (No. 221)
Inequivalent atoms, fractional coordinates:
Ca 0.0000 0.0000 0.0000 (multiplicity 1)  6 Hf 2.42
Hf 0.0000 0.0000 0.5000 (multiplicity 3)  2 Ca 2.42
Fe 0.5000 0.5000 0.5000 (multiplicity 1)  12 Hf 3.43

Formation enthalpy at 0 K ... 2310.2 meV per atom
Energy ... -5.755 eV per atom

No. 13
This record from Alexandria describes a geometry-optimized ZrSiRu3 structure. The functional is GGA-PBE.

a b c (Å): 4.3758 4.3758 4.3758
angles (deg): 90.00 90.00 90.00
Last column: nearest neighbours and their distance in Å.
Space group Pm-3m (No. 221)
Inequivalent atoms, fractional coordinates:
Zr 0.0000 0.0000 0.0000 (multiplicity 1)  12 Ru 3.09
Si 0.5000 0.5000 0.5000 (multiplicity 1)  6 Ru 2.19
Ru 0.0000 0.5000 0.5000 (multiplicity 3)  2 Si 2.19

Energy ... -8.395 eV per atom
Formation energy without anion corrections ... -0.036 eV per atom

No. 14
This record from Alexandria describes a geometry-optimized Sr3Te structure. The functional is GGA-PBE.

a b c (Å): 5.1337 5.1337 12.7429
angles (deg): 90.00 90.00 90.00
Last column: nearest neighbours and their distance in Å.
Space group I4/mmm (No. 139)
Inequivalent atoms, fractional coordinates:
Sr 0.0000 0.0000 0.0000 (multiplicity 2)  4 Te 3.63
Sr 0.0000 0.5000 0.2500 (multiplicity 4)  4 Sr 3.63
Te 0.0000 0.0000 0.5000 (multiplicity 2)  4 Sr 3.63

Energy ... -2.595 eV per atom
Formation energy without anion corrections ... -0.548 eV per atom

No. 15
This record from Alexandria describes a geometry-optimized Sr2PmPaP4 structure. The functional is GGA-PBE.

a b c (Å): 7.2360 4.2072 7.3699
angles (deg): 90.00 109.03 90.00
Last column: nearest neighbours and their distance in Å.
Space group P2/m (No. 10)
Inequivalent atoms, fractional coordinates:
Sr 0.0000 0.0000 0.0000 (multiplicity 1)  6 P 3.17-3.19
Sr 0.5000 0.5000 0.0000 (multiplicity 1)  6 P 3.05-3.07
Pm 0.0000 0.5000 0.5000 (multiplicity 1)  6 P 2.91-2.92
Pa 0.5000 0.0000 0.5000 (multiplicity 1)  6 P 2.76-2.82
P 0.2560 0.0000 0.7203 (multiplicity 2)  1 Pa 2.76, 2 Pm 2.92, 2 Sr 3.07
P 0.2735 0.5000 0.2845 (multiplicity 2)  2 Pa 2.82, 1 Pm 2.91, 1 Sr 3.05

Formation enthalpy at 0 K ... -1302.5 meV per atom
Energy ... -6.209 eV per atom

No. 16
This record from Alexandria describes a geometry-optimized Pr2Dy6Y3Mg structure. The functional is GGA-PBE.

a b c (Å): 6.1530 10.6655 11.8018
angles (deg): 90.00 100.07 90.00
Last column: nearest neighbours and their distance in Å.
Space group C2/m (No. 12)
Inequivalent atoms, fractional coordinates:
Pr 0.0000 0.1665 0.0000 (multiplicity 4)  3 Pr 3.55-3.56, 3 Mg 3.55-3.56, 6 Dy 3.57-3.58
Dy 0.2481 0.5000 0.7478 (multiplicity 4)  3 Y 3.53-3.54, 6 Dy 3.53-3.57, 1 Mg 3.57, 2 Pr 3.58
Dy 0.2489 0.3344 0.2513 (multiplicity 8)  6 Dy 3.53-3.57, 3 Y 3.54-3.56, 1 Mg 3.56, 2 Pr 3.57-3.58
Y 0.0000 0.0000 0.5000 (multiplicity 2)  6 Dy 3.54, 6 Y 3.55-3.57
Y 0.0000 0.3345 0.5000 (multiplicity 4)  6 Dy 3.53-3.56, 6 Y 3.53-3.57
Mg 0.0000 0.5000 0.0000 (multiplicity 2)  6 Pr 3.55-3.56, 6 Dy 3.56-3.57

Formation enthalpy at 0 K ... 21.5 meV per atom
Energy ... -4.825 eV per atom

No. 17
This record from Alexandria describes a geometry-optimized Tl3PbBr structure. The functional is GGA-PBE.

a b c (Å): 5.9999 5.9999 5.9999
angles (deg): 90.00 90.00 90.00
Last column: nearest neighbours and their distance in Å.
Space group Pm-3m (No. 221)
Inequivalent atoms, fractional coordinates:
Tl 0.0000 0.0000 0.5000 (multiplicity 3)  2 Br 3.00
Pb 0.5000 0.5000 0.5000 (multiplicity 1)  12 Tl 4.24
Br 0.0000 0.0000 0.0000 (multiplicity 1)  6 Tl 3.00

Energy ... -2.350 eV per atom
Formation energy without anion corrections ... 0.146 eV per atom

No. 18
This record from Alexandria describes a geometry-optimized ErZrSc3 structure. The functional is GGA-PBE.

a b c (Å): 7.8667 3.2734 10.1646
angles (deg): 90.00 91.82 90.00
Last column: nearest neighbours and their distance in Å.
Space group P2_1/m (No. 11)
Inequivalent atoms, fractional coordinates:
Er 0.1464 0.2500 0.1333 (multiplicity 2)  2 Er 3.27, 6 Sc 3.37-3.48, 1 Zr 3.66
Zr 0.4957 0.7500 0.6271 (multiplicity 2)  6 Sc 3.06-3.21, 4 Zr 3.06-3.27
Sc 0.1643 0.2500 0.7076 (multiplicity 2)  7 Sc 3.01-3.27, 2 Zr 3.21
Sc 0.1770 0.7500 0.4351 (multiplicity 2)  5 Sc 3.01-3.27, 3 Zr 3.13
Sc 0.3789 0.7500 0.9113 (multiplicity 2)  6 Sc 3.06-3.27, 1 Zr 3.06, 2 Er 3.37

Formation enthalpy at 0 K ... 156.2 meV per atom
Energy ... -6.265 eV per atom